This record from Alexandria via LeMat-Bulk describes a relaxed structure of Nb3VMo2. The functional is GGA-PBE.

Cell lengths 4.456, 6.993, 7.148 Å; angles 97.52, 108.16, 90.00 degrees
Fractional coordinates of all 12 atoms:
V 0.156 0.280 0.312
V 0.844 0.720 0.688
Nb 0.070 0.861 0.141
Nb 0.692 0.964 0.385
Nb 0.308 0.036 0.615
Nb 0.930 0.139 0.859
Nb 0.387 0.436 0.774
Nb 0.613 0.564 0.226
Mo 0.768 0.350 0.536
Mo 0.232 0.650 0.464
Mo 0.543 0.186 0.086
Mo 0.457 0.814 0.914

Computed properties:
total magnetic moment: 0.00 Bohr magnetons per cell
space-group type: C2/m
uncorrected energy: -120.32 eV for the cell shown
crystal system: monoclinic
energy above the most stable polymorph in this dataset: 0.027 eV per atom
V: 17.47 Å³ per atom
DOS at the Fermi energy: 0.919 states/eV/atom


This record from Alexandria via LeMat-Bulk describes a relaxed structure of CdCu2Tc. The functional is GGA-PBE.

Cell lengths 5.452, 5.452, 5.452 Å; angles 151.53, 127.03, 61.23 degrees
Site moments in Bohr magnetons follow the coordinates.
Fractional coordinates of all 4 atoms:
Cu 0.508 0.508 0.000  0.02
Cu 0.992 0.992 0.000  0.02
Tc 0.750 0.250 0.500  0.37
Cd 0.250 0.750 0.500  -0.01

Computed properties:
total magnetic moment: 0.41 Bohr magnetons per cell
space-group type: Immm
uncorrected energy: -17.73 eV for the cell shown
crystal system: orthorhombic
V: 15.29 Å³ per atom
DOS at the Fermi energy: 0.620 states/eV/atom